Material: TcHg3Br
Method: DFT, PBEsol
State: optimized geometry

Unit cell a=5.2743 b=5.2743 c=5.2743 alpha=90.00 beta=90.00 gamma=90.00
Last column: nearest neighbours and their distance in Å.
Element x y z (fractional)
Tc: 0.0000 0.0000 0.0000  6 Hg 2.64
Hg: 0.0000 0.0000 0.5000  2 Tc 2.64
Hg: 0.0000 0.5000 0.0000  2 Tc 2.64
Hg: 0.5000 0.0000 0.0000  2 Tc 2.64
Br: 0.5000 0.5000 0.5000  12 Hg 3.73

space group	Pm-3m

=====

Material: Nd9Ni26P12
Method: DFT, PBEsol
State: optimized geometry

Unit cell a=14.1883 b=14.1883 c=3.8211 alpha=90.00 beta=90.00 gamma=120.00
Last column: nearest neighbours and their distance in Å.
Element x y z (fractional)
Nd: 0.0487 0.5243 0.0000  12 Ni 2.87-3.14, 4 P 3.06
Nd: 0.0912 0.1824 0.5000  6 P 2.92-2.95, 10 Ni 2.95-3.08
Nd: 0.0912 0.9088 0.5000  6 P 2.92-2.95, 10 Ni 2.95-3.08
Nd: 0.4757 0.5243 0.0000  12 Ni 2.87-3.14, 4 P 3.06
Nd: 0.4757 0.9513 0.0000  12 Ni 2.87-3.14, 4 P 3.06
Nd: 0.4819 0.2409 0.0000  4 P 2.95, 10 Ni 2.97-3.09
Nd: 0.7591 0.2409 0.0000  4 P 2.95, 10 Ni 2.97-3.09
Nd: 0.7591 0.5181 0.0000  4 P 2.95, 10 Ni 2.97-3.09
Nd: 0.8176 0.9088 0.5000  6 P 2.92-2.95, 10 Ni 2.95-3.08
Ni: 0.0000 0.0000 0.0000  3 P 2.27
Ni: 0.1208 0.4090 0.5000  3 P 2.20-2.32, 1 Ni 2.38
Ni: 0.1208 0.7118 0.5000  3 P 2.20-2.32, 1 Ni 2.38
Ni: 0.2228 0.6114 0.5000  8 Ni 2.35-2.49
Ni: 0.2684 0.5368 0.0000  1 P 2.14
Ni: 0.2684 0.7316 0.0000  1 P 2.14
Ni: 0.2861 0.1430 0.5000  4 P 2.28-2.30
Ni: 0.2865 0.0060 0.0000  4 P 2.28-2.32
Ni: 0.2865 0.2805 0.0000  4 P 2.28-2.32
Ni: 0.2882 0.4090 0.5000  3 P 2.20-2.32, 1 Ni 2.38
Ni: 0.2882 0.8792 0.5000  3 P 2.20-2.32, 1 Ni 2.38
Ni: 0.3886 0.6114 0.5000  8 Ni 2.35-2.49
Ni: 0.3886 0.7772 0.5000  8 Ni 2.35-2.49
Ni: 0.4632 0.7316 0.0000  1 P 2.14
Ni: 0.5701 0.1403 0.5000  2 P 2.24, 1 Ni 2.37
Ni: 0.5701 0.4299 0.5000  2 P 2.24, 1 Ni 2.37
Ni: 0.5910 0.7118 0.5000  3 P 2.20-2.32, 1 Ni 2.38
Ni: 0.5910 0.8792 0.5000  3 P 2.20-2.32, 1 Ni 2.38
Ni: 0.6667 0.3333 0.5000  3 Ni 2.37
Ni: 0.7195 0.0060 0.0000  4 P 2.28-2.32
Ni: 0.7195 0.7135 0.0000  4 P 2.28-2.32
Ni: 0.8570 0.1430 0.5000  4 P 2.28-2.30
Ni: 0.8570 0.7139 0.5000  4 P 2.28-2.30
Ni: 0.8597 0.4299 0.5000  2 P 2.24, 1 Ni 2.37
Ni: 0.9940 0.2805 0.0000  4 P 2.28-2.32
Ni: 0.9940 0.7135 0.0000  4 P 2.28-2.32
P: 0.1813 0.3625 0.0000  7 Ni 2.14-2.32
P: 0.1813 0.8187 0.0000  7 Ni 2.14-2.32
P: 0.1844 0.0922 0.0000  5 Ni 2.27-2.32
P: 0.3878 0.0578 0.5000  5 Ni 2.20-2.30
P: 0.3878 0.3299 0.5000  5 Ni 2.20-2.30
P: 0.6375 0.8187 0.0000  7 Ni 2.14-2.32
P: 0.6701 0.0578 0.5000  5 Ni 2.20-2.30
P: 0.6701 0.6122 0.5000  5 Ni 2.20-2.30
P: 0.9078 0.0922 0.0000  5 Ni 2.27-2.32
P: 0.9078 0.8156 0.0000  5 Ni 2.27-2.32
P: 0.9422 0.3299 0.5000  5 Ni 2.20-2.30
P: 0.9422 0.6122 0.5000  5 Ni 2.20-2.30

space group	P-6m2
DFT formation energy	-0.83	eV per atom

=====

Material: BeSn3N
Method: DFT, PBEsol
State: optimized geometry

Unit cell a=4.6304 b=4.6304 c=4.6304 alpha=90.00 beta=90.00 gamma=90.00
Last column: nearest neighbours and their distance in Å.
Element x y z (fractional)
Be: 0.0000 0.0000 0.0000  12 Sn 3.27
Sn: 0.0000 0.5000 0.5000  2 N 2.32
Sn: 0.5000 0.0000 0.5000  2 N 2.32
Sn: 0.5000 0.5000 0.0000  2 N 2.32
N: 0.5000 0.5000 0.5000  6 Sn 2.32

space group	Pm-3m

=====

Material: Os2RhBr
Method: DFT, PBEsol
State: optimized geometry

Unit cell a=5.4517 b=5.4517 c=5.4517 alpha=149.72 beta=132.81 gamma=57.10
Last column: nearest neighbours and their distance in Å.
Element x y z (fractional)
Os: 0.2215 0.2215 0.0000  2 Br 2.56, 6 Os 2.66-2.85
Os: 0.7785 0.7785 0.0000  2 Br 2.56, 6 Os 2.66-2.85
Rh: 0.5000 0.0000 0.5000  4 Br 2.61, 2 Rh 2.85
Br: 0.0000 0.5000 0.5000  4 Os 2.56, 4 Rh 2.61, 2 Br 2.85

space group	Immm

=====

Material: NbCdO2F
Method: DFT, PBEsol
State: optimized geometry

Unit cell a=4.1687 b=4.1687 c=4.1014 alpha=90.00 beta=90.00 gamma=90.00
Last column: nearest neighbours and their distance in Å.
Element x y z (fractional)
Nb: 0.0000 0.0000 0.0000  8 O 2.92, 4 F 2.95
Cd: 0.5000 0.5000 0.5000  2 F 2.05, 4 O 2.08
O: 0.0000 0.5000 0.5000  2 Cd 2.08
O: 0.5000 0.0000 0.5000  2 Cd 2.08
F: 0.5000 0.5000 0.0000  2 Cd 2.05

space group	P4/mmm

=====

Material: Er
Method: DFT, PBEsol
State: optimized geometry

Unit cell a=8.5093 b=8.5093 c=8.5093 alpha=23.44 beta=23.44 gamma=23.44
Last column: nearest neighbours and their distance in Å.
Element x y z (fractional)
Er: 0.0000 0.0000 0.0000  12 Er 3.41-3.46
Er: 0.2222 0.2222 0.2222  12 Er 3.40-3.46
Er: 0.7778 0.7778 0.7778  12 Er 3.40-3.46

distance to the lowest polymorph of the same formula	0.000	eV/atom
space group	R-3m
DFT formation energy	0.00	eV per atom

=====

Material: CsAg2S2
Method: DFT, PBEsol
State: optimized geometry

Unit cell a=6.7126 b=6.7126 c=6.7126 alpha=136.63 beta=136.63 gamma=63.01
Last column: nearest neighbours and their distance in Å.
Element x y z (fractional)
Cs: 0.0000 0.0000 0.0000  2 Ag 3.30
Ag: 0.2887 0.2887 0.0000  4 S 2.52
Ag: 0.7113 0.7113 0.0000  4 S 2.52
S: 0.2500 0.7500 0.5000  4 Ag 2.52
S: 0.7500 0.2500 0.5000  4 Ag 2.52

space group	I4/mmm

=====

Material: CdCo2AsW
Method: DFT, PBEsol
State: optimized geometry

Unit cell a=4.4950 b=4.4950 c=4.7070 alpha=90.00 beta=90.00 gamma=90.00
Last column: nearest neighbours and their distance in Å.
Element x y z (fractional)
Cd: 0.0000 0.0000 0.0000  4 Co 2.25, 2 As 2.35
Co: 0.0000 0.5000 0.0000  2 Cd 2.25
Co: 0.5000 0.0000 0.0000  2 Cd 2.25
As: 0.0000 0.0000 0.5000  2 Cd 2.35
W: 0.5000 0.5000 0.5000  4 As 3.18, 8 Co 3.25

space group	P4/mmm
DFT formation energy	2.30	eV per atom

=====

Number 1: density of states at the Fermi level 0.593 states/eV/atom, uncorrected energy -2.30 eV per atom. Number 2: density of states at the Fermi level 0.930 states/eV/atom, uncorrected energy -6.71 eV per atom. Number 3: density of states at the Fermi level 0.809 states/eV/atom, uncorrected energy -4.30 eV per atom. Number 4: density of states at the Fermi level 1.139 states/eV/atom, uncorrected energy -7.58 eV per atom. Number 5: density of states at the Fermi level 1.150 states/eV/atom, uncorrected energy -5.13 eV per atom. Number 6: density of states at the Fermi level 1.232 states/eV/atom, uncorrected energy -4.93 eV per atom. Number 7: density of states at the Fermi level 0.214 states/eV/atom, uncorrected energy -3.61 eV per atom. Number 8: density of states at the Fermi level 1.810 states/eV/atom, uncorrected energy -4.82 eV per atom.